# 1
A relaxed Li2MgScTl2 crystal. Source: Alexandria, functional GGA-PBE.

Cell: 4.7955 4.7955 6.3024 Å, 90.00 90.00 120.00°
With the nearest neighbours (Å) after each atom.
Fractional coordinates of all 6 atoms:
Li  0.3333  0.6667  0.2114  4 Tl 2.81-3.12, 3 Mg 3.07
Li  0.6667  0.3333  0.7886  4 Tl 2.81-3.12, 3 Mg 3.07
Mg  0.0000  0.0000  0.0000  6 Li 3.07, 2 Sc 3.15, 6 Tl 3.30
Sc  0.0000  0.0000  0.5000  6 Tl 3.09, 2 Mg 3.15, 6 Li 3.31
Tl  0.3333  0.6667  0.7161  4 Li 2.81-3.12, 3 Sc 3.09
Tl  0.6667  0.3333  0.2839  4 Li 2.81-3.12, 3 Sc 3.09

Calculated values
**Total moment**: 0.00 μB per cell
**Density of states at the Fermi level**: 0.659 states/eV per atom
**Crystal system**: trigonal
**Calculated formation energy**: -0.24 eV per atom
**Total energy**: -2.9841 eV/atom

# 2
A relaxed Rb3MoPd crystal. Source: Alexandria, functional GGA-PBE.

Cell: 6.4736 6.4736 6.4736 Å, 90.00 90.00 90.00°
With the nearest neighbours (Å) after each atom.
Fractional coordinates of all 5 atoms:
Rb  0.0000  0.0000  0.5000  2 Pd 3.24
Rb  0.0000  0.5000  0.0000  2 Pd 3.24
Rb  0.5000  0.0000  0.0000  2 Pd 3.24
Mo  0.5000  0.5000  0.5000  12 Rb 4.58
Pd  0.0000  0.0000  0.0000  6 Rb 3.24

Calculated values
**Total moment**: 5.00 μB per cell
**Density of states at the Fermi level**: 0.025 states/eV per atom
**E above lowest polymorph**: 0.00 eV/f.u.
**Crystal system**: cubic
**Calculated formation energy**: 1.08 eV per atom
**Total energy**: -2.7084 eV/atom

| no. | calculated density (g/cm3) |
| --- | --- |
| 1 | 6.5 |
| 2 | 2.8 |